Arrangement A

Material: Fe3AsI
Method: DFT, PBE
State: relaxed

Structure (CIF):
```
data_Fe3AsI
_chemical_formula_sum 'Fe3 As1 I1'
_cell_length_a 4.730
_cell_length_b 4.730
_cell_length_c 4.730
_cell_angle_alpha 90.00
_cell_angle_beta 90.00
_cell_angle_gamma 90.00
_symmetry_space_group_name_H-M 'P m -3 m'
_symmetry_Int_Tables_number 221
_symmetry_space_group_name_Hall '-P 4 2 3'
loop_
_atom_site_label
_atom_site_type_symbol
_atom_site_fract_x
_atom_site_fract_y
_atom_site_fract_z
Fe1 Fe 0.000 0.000 0.500
As1 As 0.500 0.500 0.500
I1 I 0.000 0.000 0.000
```

## Properties
M_tot	7.7	μB/cell

***

Arrangement B

Material: Fe3AsI
Method: DFT, PBE
State: relaxed

Structure (CIF):
```
data_Fe3AsI
_chemical_formula_sum 'Fe3 As1 I1'
_cell_length_a 4.702
_cell_length_b 4.702
_cell_length_c 4.702
_cell_angle_alpha 90.00
_cell_angle_beta 90.00
_cell_angle_gamma 90.00
_symmetry_space_group_name_H-M 'P m -3 m'
_symmetry_Int_Tables_number 221
_symmetry_space_group_name_Hall '-P 4 2 3'
loop_
_atom_site_label
_atom_site_type_symbol
_atom_site_fract_x
_atom_site_fract_y
_atom_site_fract_z
Fe1 Fe 0.000 0.000 0.500
As1 As 0.000 0.000 0.000
I1 I 0.500 0.500 0.500
```

## Properties
M_tot	10.0	μB/cell

***

Energy ordering: arrangement B at the bottom, the next structure 72.5 kJ/mol of atoms above.